[1]
The following is a GGA-PBE calculation of Li2ScF4 after structural relaxation, from Alexandria via LeMat-Bulk.

Properties
**Raw formation energy**: -21.4 eV per formula unit

```
data_Li2ScF4
_cell_length_a 6.8400
_cell_length_b 6.8400
_cell_length_c 5.0270
_cell_angle_alpha 90.00
_cell_angle_beta 90.00
_cell_angle_gamma 90.00
_symmetry_space_group_name_H-M 'I 4/m'
_symmetry_Int_Tables_number 87
_symmetry_space_group_name_Hall '-I 4'
loop_
_atom_site_label
_atom_site_fract_x
_atom_site_fract_y
_atom_site_fract_z
Li1 0.0000 0.5000 0.2500
Sc1 0.0000 0.0000 0.0000
F1 0.0038 0.7047 0.0000
```


[2]
The following is a GGA-PBE calculation of LiLaRe4 after structural relaxation, from Alexandria via LeMat-Bulk.

Properties
**ΔH_f (0 K)**: 324 meV per atom

```
data_LiLaRe4
_cell_length_a 7.6327
_cell_length_b 7.6327
_cell_length_c 7.6327
_cell_angle_alpha 90.00
_cell_angle_beta 90.00
_cell_angle_gamma 90.00
_symmetry_space_group_name_H-M 'F -4 3 m'
_symmetry_Int_Tables_number 216
_symmetry_space_group_name_Hall 'F -4 2 3'
loop_
_atom_site_label
_atom_site_fract_x
_atom_site_fract_y
_atom_site_fract_z
Li1 0.0000 0.0000 0.0000
La1 0.2500 0.2500 0.2500
Re1 0.1256 0.1256 0.6256
```


[3]
The following is a GGA-PBE calculation of Re2SBr after structural relaxation, from Alexandria via LeMat-Bulk.

Properties
**Energy above the most stable polymorph in this dataset**: 0.154 eV/atom
**Raw formation energy**: 4.8 eV per formula unit

```
data_Re2SBr
_cell_length_a 6.1836
_cell_length_b 6.1836
_cell_length_c 6.1836
_cell_angle_alpha 90.00
_cell_angle_beta 90.00
_cell_angle_gamma 90.00
_symmetry_space_group_name_H-M 'F m -3 m'
_symmetry_Int_Tables_number 225
_symmetry_space_group_name_Hall '-F 4 2 3'
loop_
_atom_site_label
_atom_site_fract_x
_atom_site_fract_y
_atom_site_fract_z
Re1 0.2500 0.2500 0.2500
S1 0.0000 0.0000 0.0000
Br1 0.0000 0.0000 0.5000
```


[4]
The following is a GGA-PBE calculation of AlFeCo after structural relaxation, from Alexandria via LeMat-Bulk.

Properties
**Energy above the most stable polymorph in this dataset**: 0.070 eV/atom
**ΔH_f (0 K)**: -290 meV per atom

```
data_AlFeCo
_cell_length_a 2.8463
_cell_length_b 2.8463
_cell_length_c 8.8039
_cell_angle_alpha 90.00
_cell_angle_beta 90.00
_cell_angle_gamma 90.00
_symmetry_space_group_name_H-M 'I 4 m m'
_symmetry_Int_Tables_number 107
_symmetry_space_group_name_Hall 'I 4 -2'
loop_
_atom_site_label
_atom_site_fract_x
_atom_site_fract_y
_atom_site_fract_z
Al1 0.0000 0.0000 0.0000
Fe1 0.0000 0.0000 0.6771
Co1 0.0000 0.0000 0.3319
```